Below is a crystal of HgPdSCl2 relaxed with PBEsol, with properties calculated at the SCAN level.

## Properties
For the total energy, the calculation gives -25.37 eV per atom. As for the total magnetic moment: 0.00 μB per cell. For the density of states at the Fermi level, the calculation gives 2.460 states/eV per cell.

Cell lengths 4.697, 4.697, 4.777 Å; angles 90.00, 90.00, 90.00 degrees
Element x y z (fractional)
Pd 0.000 0.000 0.000
S 0.000 0.000 0.500
Cl 0.500 0.000 0.000
Cl 0.000 0.500 0.000
Hg 0.500 0.500 0.500



Below is a crystal of CaWNF2 relaxed with PBEsol, with properties calculated at the SCAN level.

## Properties
For the total energy, the calculation gives -20.50 eV per atom. As for the total magnetic moment: 0.01 μB per cell. For the density of states at the Fermi level, the calculation gives 3.189 states/eV per cell.

Cell lengths 4.174, 4.174, 3.949 Å; angles 90.00, 90.00, 90.00 degrees
Element x y z (fractional)
Ca 0.500 0.500 0.500
N 0.000 0.000 0.500
F 0.000 0.500 0.000
F 0.500 0.000 0.000
W 0.000 0.000 0.000



Below is a crystal of AgTe3Br relaxed with PBEsol, with properties calculated at the SCAN level.

## Properties
For the total energy, the calculation gives -31.58 eV per atom. As for the total magnetic moment: 0.00 μB per cell. For the density of states at the Fermi level, the calculation gives 3.581 states/eV per cell.

Cell lengths 5.467, 5.467, 5.467 Å; angles 90.00, 90.00, 90.00 degrees
Element x y z (fractional)
Te 0.000 0.000 0.500
Te 0.000 0.500 0.000
Te 0.500 0.000 0.000
Ag 0.500 0.500 0.500
Br 0.000 0.000 0.000



Below is a crystal of SiMoRu2 relaxed with PBEsol, with properties calculated at the SCAN level.

## Properties
For the total energy, the calculation gives -28.93 eV per atom. As for the total magnetic moment: 0.00 μB per cell. For the density of states at the Fermi level, the calculation gives 2.529 states/eV per cell.

Cell lengths 2.854, 4.394, 5.003 Å; angles 116.05, 106.57, 90.00 degrees
Element x y z (fractional)
Si 0.000 0.500 0.000
Mo 0.500 0.000 0.000
Ru 0.275 0.275 0.551
Ru 0.725 0.725 0.449



Below is a crystal of InHgPO2 relaxed with PBEsol, with properties calculated at the SCAN level.

## Properties
For the total energy, the calculation gives -24.90 eV per atom. Its energy above the most stable polymorph in this dataset is 0.000 eV/atom. As for the total magnetic moment: 1.65 μB per cell. For the density of states at the Fermi level, the calculation gives 2.954 states/eV per cell.

Cell lengths 3.994, 3.994, 5.615 Å; angles 90.00, 90.00, 90.00 degrees
Site moments in Bohr magnetons follow the coordinates.
Element x y z (fractional)
O 0.500 0.000 0.000  0.49
O 0.000 0.500 0.000  0.49
In 0.000 0.000 0.000  0.01
P 0.000 0.000 0.500  0.27
Hg 0.500 0.500 0.500  0.00



Below is a crystal of SrCrNF2 relaxed with PBEsol, with properties calculated at the SCAN level.

## Properties
For the total energy, the calculation gives -12.44 eV per atom. As for the total magnetic moment: 3.00 μB per cell. For the density of states at the Fermi level, the calculation gives 1.257 states/eV per cell.

Cell lengths 4.443, 4.443, 5.074 Å; angles 90.00, 90.00, 90.00 degrees
Site moments in Bohr magnetons follow the coordinates.
Element x y z (fractional)
Sr 0.000 0.000 0.000  -0.05
Cr 0.500 0.500 0.500  4.30
F 0.000 0.500 0.000  0.01
F 0.500 0.000 0.000  0.01
N 0.000 0.000 0.500  -1.25



Below is a crystal of BeFeCo2 relaxed with PBEsol, with properties calculated at the SCAN level.

## Properties
For the total energy, the calculation gives -14.35 eV per atom. As for the total magnetic moment: 5.69 μB per cell. For the density of states at the Fermi level, the calculation gives 2.646 states/eV per cell. As for the formation energy: -0.08 eV per atom.

Cell lengths 2.429, 3.374, 4.794 Å; angles 90.00, 90.00, 90.00 degrees
Site moments in Bohr magnetons follow the coordinates.
Element x y z (fractional)
Fe 0.000 0.000 0.509  2.60
Co 0.000 0.000 0.987  1.62
Co 0.500 0.500 0.248  1.63
Be 0.500 0.500 0.756  -0.08



Below is a crystal of LaAlHg relaxed with PBEsol, with properties calculated at the SCAN level.

## Properties
For the total energy, the calculation gives -40.08 eV per atom. As for the total magnetic moment: 0.00 μB per cell. For the density of states at the Fermi level, the calculation gives 0.352 states/eV per cell. As for the formation energy: -0.41 eV per atom.

Cell lengths 4.826, 4.826, 4.826 Å; angles 60.00, 60.00, 60.00 degrees
Element x y z (fractional)
Hg 0.000 0.000 0.000
La 0.500 0.500 0.500
Al 0.250 0.250 0.250



Below is a crystal of Mg2TePdPt relaxed with PBEsol, with properties calculated at the SCAN level.

## Properties
For the total energy, the calculation gives -29.89 eV per atom. As for the total magnetic moment: 0.00 μB per cell. For the density of states at the Fermi level, the calculation gives 1.941 states/eV per cell.

Cell lengths 4.818, 4.818, 4.892 Å; angles 90.00, 90.00, 90.00 degrees
Element x y z (fractional)
Te 0.000 0.000 0.500
Mg 0.000 0.500 0.000
Mg 0.500 0.000 0.000
Pd 0.000 0.000 0.000
Pt 0.500 0.500 0.500



Below is a crystal of Sr2NbPtCl relaxed with PBEsol, with properties calculated at the SCAN level.

## Properties
For the total energy, the calculation gives -31.20 eV per atom. As for the total magnetic moment: 2.56 μB per cell. For the density of states at the Fermi level, the calculation gives 3.908 states/eV per cell.

Cell lengths 4.674, 5.928, 5.928 Å; angles 90.00, 90.00, 90.00 degrees
Site moments in Bohr magnetons follow the coordinates.
Element x y z (fractional)
Cl 0.500 0.500 0.500  0.01
Sr 0.000 0.500 0.000  0.12
Sr 0.000 0.000 0.500  0.12
Nb 0.000 0.000 0.000  1.50
Pt 0.500 0.000 0.000  0.10



Below is a crystal of Y3Cu4Sn4 relaxed with PBEsol, with properties calculated at the SCAN level.

## Properties
For the total energy, the calculation gives -26.81 eV per atom. As for the total magnetic moment: 0.00 μB per cell. For the density of states at the Fermi level, the calculation gives 2.455 states/eV per cell. As for the formation energy: -0.63 eV per atom.

Cell lengths 4.414, 6.846, 8.318 Å; angles 114.30, 105.39, 90.00 degrees
Element x y z (fractional)
Y 0.869 0.869 0.738
Y 0.000 0.500 0.000
Y 0.131 0.131 0.262
Cu 0.329 0.517 0.659
Cu 0.671 0.483 0.341
Cu 0.671 0.858 0.341
Cu 0.329 0.142 0.659
Sn 0.216 0.716 0.433
Sn 0.784 0.284 0.567
Sn 0.500 0.797 0.000
Sn 0.500 0.203 0.000



Below is a crystal of PNCl2F relaxed with PBEsol, with properties calculated at the SCAN level.

## Properties
For the total energy, the calculation gives -6.86 eV per atom. Its energy above the most stable polymorph in this dataset is 0.000 eV/atom. As for the total magnetic moment: 0.00 μB per cell. For the density of states at the Fermi level, the calculation gives 2.779 states/eV per cell.

Cell lengths 3.811, 4.369, 4.369 Å; angles 90.00, 90.00, 90.00 degrees
Element x y z (fractional)
P 0.500 0.000 0.000
N 0.000 0.000 0.000
F 0.500 0.500 0.500
Cl 0.000 0.500 0.000
Cl 0.000 0.000 0.500



Below is a crystal of W2SeBr relaxed with PBEsol, with properties calculated at the SCAN level.

## Properties
For the total energy, the calculation gives -44.44 eV per atom. Its energy above the most stable polymorph in this dataset is 0.000 eV/atom. As for the total magnetic moment: 0.00 μB per cell. For the density of states at the Fermi level, the calculation gives 2.701 states/eV per cell.

Cell lengths 3.065, 3.065, 9.623 Å; angles 80.84, 80.84, 60.00 degrees
Element x y z (fractional)
W 0.747 0.747 0.760
W 0.001 0.001 0.998
Se 0.272 0.272 0.184
Br 0.481 0.481 0.558



Below is a crystal of NbTlIn2Pb relaxed with PBEsol, with properties calculated at the SCAN level.

## Properties
For the total energy, the calculation gives -48.58 eV per atom. As for the total magnetic moment: 2.65 μB per cell. For the density of states at the Fermi level, the calculation gives 3.869 states/eV per cell. As for the formation energy: 1.03 eV per atom.

Cell lengths 5.396, 5.412, 5.412 Å; angles 90.00, 90.00, 90.00 degrees
Site moments in Bohr magnetons follow the coordinates.
Element x y z (fractional)
Nb 0.500 0.000 0.000  2.10
Tl 0.000 0.000 0.000  0.03
In 0.000 0.000 0.500  0.01
In 0.000 0.500 0.000  0.01
Pb 0.500 0.500 0.500  -0.07



Below is a crystal of Pm3Tm relaxed with PBEsol, with properties calculated at the SCAN level.

## Properties
For the total energy, the calculation gives -45.93 eV per atom. Its energy above the most stable polymorph in this dataset is 0.005 eV/atom. As for the total magnetic moment: 0.00 μB per cell. For the density of states at the Fermi level, the calculation gives 12.163 states/eV per cell. As for the formation energy: 0.02 eV per atom.

Cell lengths 5.688, 7.140, 7.140 Å; angles 120.00, 90.00, 90.00 degrees
Element x y z (fractional)
Pm 0.750 0.334 0.167
Pm 0.750 0.833 0.666
Pm 0.750 0.833 0.167
Pm 0.250 0.167 0.833
Pm 0.250 0.167 0.334
Pm 0.250 0.666 0.833
Tm 0.250 0.667 0.333
Tm 0.750 0.333 0.667



Below is a crystal of CdAsAu2 relaxed with PBEsol, with properties calculated at the SCAN level.

## Properties
For the total energy, the calculation gives -47.20 eV per atom. Its energy above the most stable polymorph in this dataset is 0.022 eV/atom. As for the total magnetic moment: 0.00 μB per cell. For the density of states at the Fermi level, the calculation gives 1.401 states/eV per cell. As for the formation energy: 0.03 eV per atom.

Cell lengths 2.963, 4.713, 5.647 Å; angles 101.14, 90.00, 108.32 degrees
Element x y z (fractional)
Cd 0.000 0.000 0.500
Au 0.251 0.502 0.245
Au 0.749 0.498 0.755
As 0.500 0.000 0.000



Below is a crystal of NaBe2NbHg relaxed with PBEsol, with properties calculated at the SCAN level.

## Properties
For the total energy, the calculation gives -21.75 eV per atom. As for the total magnetic moment: 2.04 μB per cell. For the density of states at the Fermi level, the calculation gives 1.698 states/eV per cell. As for the formation energy: 1.09 eV per atom.

Cell lengths 4.406, 4.406, 4.843 Å; angles 90.00, 90.00, 90.00 degrees
Site moments in Bohr magnetons follow the coordinates.
Element x y z (fractional)
Hg 0.000 0.000 0.000  -0.05
Nb 0.500 0.500 0.500  1.70
Be 0.000 0.500 0.000  -0.06
Be 0.500 0.000 0.000  -0.06
Na 0.000 0.000 0.500  0.01



Below is a crystal of YSiTc2 relaxed with PBEsol, with properties calculated at the SCAN level.

## Properties
For the total energy, the calculation gives -26.92 eV per atom. As for the total magnetic moment: 0.00 μB per cell. For the density of states at the Fermi level, the calculation gives 2.730 states/eV per cell.

Cell lengths 3.212, 3.212, 7.819 Å; angles 78.15, 78.15, 60.00 degrees
Element x y z (fractional)
Si 0.000 0.000 0.000
Tc 0.734 0.734 0.798
Tc 0.266 0.266 0.202
Y 0.500 0.500 0.500



Below is a crystal of LaCrSe2 relaxed with PBEsol, with properties calculated at the SCAN level.

## Properties
For the total energy, the calculation gives -26.63 eV per atom. Its energy above the most stable polymorph in this dataset is 0.165 eV/atom. As for the total magnetic moment: 4.70 μB per cell. For the density of states at the Fermi level, the calculation gives 1.187 states/eV per cell.

Cell lengths 3.626, 4.876, 4.876 Å; angles 90.00, 90.00, 90.00 degrees
Site moments in Bohr magnetons follow the coordinates.
Element x y z (fractional)
Se 0.000 0.500 0.000  -0.11
Se 0.000 0.000 0.500  -0.11
Cr 0.500 0.500 0.500  4.16
La 0.500 0.000 0.000  0.14



Below is a crystal of SrTa2Br relaxed with PBEsol, with properties calculated at the SCAN level.

## Properties
For the total energy, the calculation gives -43.70 eV per atom. Its energy above the most stable polymorph in this dataset is 0.000 eV/atom. As for the total magnetic moment: 0.00 μB per cell. For the density of states at the Fermi level, the calculation gives 2.991 states/eV per cell.

Cell lengths 3.447, 3.529, 8.119 Å; angles 102.55, 90.00, 90.00 degrees
Element x y z (fractional)
Ta 0.500 0.472 0.944
Ta 0.000 0.042 0.084
Sr 0.500 0.693 0.387
Br 0.000 0.322 0.645